The following is a PBE calculation of a geometry-optimized Sr2Rh2N3 structure, from Alexandria.

Results
Its volume is 19.33 A^3/atom. The total magnetization is 0.000 μB per formula unit. The value obtained for the density of states at the Fermi level is 14.4 states/eV per cell. Its crystal system is trigonal. Its formation energy without anion corrections is -31 meV per atom.

abc: 5.9910 5.9910 13.0622
angles: 90.00 90.00 120.00
With the nearest neighbours (Å) after each atom.
Space group R-3m (No. 166, hexagonal axes)
Unique sites:
1 Sr 0.0000 0.0000 0.0000 (multiplicity 3)  6 N 2.78, 2 Rh 2.95
2 Sr 0.0000 0.0000 0.5000 (multiplicity 3)  6 N 3.00
3 Rh 0.0000 0.0000 0.2257 (multiplicity 6)  3 N 1.89
4 N 0.0000 0.5000 0.5000 (multiplicity 9)  2 Rh 1.89



The following is a PBE calculation of a geometry-optimized Na3Zr3BeS8 structure, from Alexandria.

Results
Its volume is 21.11 A^3/atom. The total magnetization is 0.000 μB per formula unit. The value obtained for the density of states at the Fermi level is 12.7 states/eV per cell. Its crystal system is trigonal. Its formation energy without anion corrections is -1324 meV per atom.

abc: 7.3193 7.3193 20.4741
angles: 90.00 90.00 120.00
With the nearest neighbours (Å) after each atom.
Space group R-3m (No. 166, hexagonal axes)
Unique sites:
1 Na 0.0000 0.5000 0.0000 (multiplicity 9)  6 S 2.82-2.89
2 Zr 0.0000 0.5000 0.5000 (multiplicity 9)  6 S 2.58-2.61
3 Be 0.0000 0.0000 0.5000 (multiplicity 3)  6 S 2.43
4 S 0.0000 0.0000 0.2418 (multiplicity 6)  3 Zr 2.61, 3 Na 2.82
5 S 0.0185 0.5092 0.2345 (multiplicity 18)  1 Be 2.43, 2 Zr 2.58



The following is a PBE calculation of a geometry-optimized Ac2ScIr9 structure, from Alexandria.

Results
Its volume is 18.85 A^3/atom. The total magnetization is 0.000 μB per formula unit. The value obtained for the density of states at the Fermi level is 30.4 states/eV per cell. Its crystal system is trigonal. The formation energy comes out at -362.0 meV per atom.

abc: 5.3621 5.3621 27.2458
angles: 90.00 90.00 120.00
With the nearest neighbours (Å) after each atom.
Space group R-3m (No. 166, hexagonal axes)
Unique sites:
1 Ac 0.0000 0.0000 0.1386 (multiplicity 6)  9 Ir 3.15-3.19, 3 Ac 3.45
2 Sc 0.0000 0.0000 0.0000 (multiplicity 3)  18 Ir 3.10-3.42
3 Ir 0.0000 0.0000 0.3320 (multiplicity 6)  6 Ir 2.61-2.65
4 Ir 0.0000 0.0000 0.5000 (multiplicity 3)  6 Ir 2.86, 6 Ac 3.19
5 Ir 0.0037 0.5018 0.0779 (multiplicity 18)  7 Ir 2.61-2.86



Question: Number 1 is which compound?
Answer: Sr2Rh2N3



Question: Number 2 is which compound?
Answer: Na3Zr3BeS8